[1]
Computed, not measured: a relaxed AlTcP crystal at the GGA-PBE level of DFT. Values from VASP.

Calculated values
* energy above the lowest structure with this stoichiometry: 79.6 meV/atom
* DFT total energy: -41.64 eV/cell

Quantum ESPRESSO input file:
```
&SYSTEM
  ibrav = 0, nat = 6, ntyp = 3
/
ATOMIC_SPECIES
Tc 98.00 Tc.upf
P 30.97 P.upf
Al 26.98 Al.upf
ATOMIC_POSITIONS crystal
Tc 0.992 0.101 0.752
P 0.535 0.715 0.475
Tc 0.008 0.899 0.248
Al 0.700 0.316 0.096
P 0.465 0.285 0.525
Al 0.300 0.684 0.904
CELL_PARAMETERS angstrom
3.177 0.000 -0.001
-1.218 4.828 0.000
-1.114 -0.858 5.796
```



[2]
Computed, not measured: a relaxed PmNd2Al3 crystal at the GGA-PBE level of DFT. Values from VASP.

Calculated values
* DFT total energy: -27.66 eV/cell

Quantum ESPRESSO input file:
```
&SYSTEM
  ibrav = 0, nat = 6, ntyp = 3
/
ATOMIC_SPECIES
Nd 144.24 Nd.upf
Al 26.98 Al.upf
Pm 145.00 Pm.upf
ATOMIC_POSITIONS crystal
Nd 0.500 0.500 0.168
Al 0.000 0.000 0.664
Al 0.000 0.000 0.336
Al 0.000 0.000 0.000
Pm 0.500 0.500 0.500
Nd 0.500 0.500 0.832
CELL_PARAMETERS angstrom
-2.520 1.108 2.499
2.303 -0.971 2.752
4.422 10.247 -0.086
```



Which of these has the lowest DFT total energy? AlTcP



DFT total energy of number 2 (PmNd2Al3)? -27.66 eV/cell



What did the second record say?
Computed, not measured: a relaxed PmNd2Al3 crystal at the GGA-PBE level of DFT. Values from VASP.

Calculated values
* DFT total energy: -27.66 eV/cell

Quantum ESPRESSO input file:
```
&SYSTEM
  ibrav = 0, nat = 6, ntyp = 3
/
ATOMIC_SPECIES
Nd 144.24 Nd.upf
Al 26.98 Al.upf
Pm 145.00 Pm.upf
ATOMIC_POSITIONS crystal
Nd 0.500 0.500 0.168
Al 0.000 0.000 0.664
Al 0.000 0.000 0.336
Al 0.000 0.000 0.000
Pm 0.500 0.500 0.500
Nd 0.500 0.500 0.832
CELL_PARAMETERS angstrom
-2.520 1.108 2.499
2.303 -0.971 2.752
4.422 10.247 -0.086
```